# MoSeCl3, optimized geometry, DFT PBE-GGA
data_MoSeCl3
_space_group_name_H-M_alt 'C 1 2/c 1'
_space_group_IT_number 15
_cell_length_a 6.6504
_cell_length_b 14.2073
_cell_length_c 12.2735
_cell_angle_alpha 90.00
_cell_angle_beta 97.22
_cell_angle_gamma 90.00
loop_
_space_group_symop_operation_xyz
'x,y,z'
'-x,-y,-z'
'-x,y,-z+1/2'
'x,-y,z+1/2'
'x+1/2,y+1/2,z'
'-x+1/2,-y+1/2,-z'
'-x+1/2,y+1/2,-z+1/2'
'x+1/2,-y+1/2,z+1/2'
loop_
_atom_site_label
_atom_site_type_symbol
_atom_site_fract_x
_atom_site_fract_y
_atom_site_fract_z
Mo1 Mo 0.0659 0.0525 0.1484
Se1 Se 0.1642 0.1830 0.2935
Cl1 Cl 0.1212 0.0923 0.5369
Cl2 Cl 0.1410 0.3882 0.9212
Cl3 Cl 0.2332 0.0378 0.8007
# E above lowest polymorph = 0.0 meV/atom

# MoSe2Cl, optimized geometry, DFT PBE-GGA
data_MoSe2Cl
_space_group_name_H-M_alt 'R 3 m'
_space_group_IT_number 160
_space_group_name_Hall 'R 3 -2"'
_cell_length_a 3.1147
_cell_length_b 3.1147
_cell_length_c 31.7918
_cell_angle_alpha 90.00
_cell_angle_beta 90.00
_cell_angle_gamma 120.00
loop_
_atom_site_label
_atom_site_type_symbol
_atom_site_fract_x
_atom_site_fract_y
_atom_site_fract_z
Mo1 Mo 0.0000 0.0000 0.0000
Se1 Se 0.0000 0.0000 0.2776
Se2 Se 0.0000 0.0000 0.5041
Cl1 Cl 0.0000 0.0000 0.7231
# Density of states at the Fermi level = 9.7 states/eV/cell
# E above lowest polymorph = 251.1 meV/atom

# MoSe2Cl, optimized geometry, DFT PBE-GGA
data_MoSe2Cl
_space_group_name_H-M_alt 'I m m 2'
_space_group_IT_number 44
_cell_length_a 3.1781
_cell_length_b 4.6086
_cell_length_c 13.6273
_cell_angle_alpha 90.00
_cell_angle_beta 90.00
_cell_angle_gamma 90.00
loop_
_space_group_symop_operation_xyz
'x,y,z'
'-x,-y,z'
'-x,y,z'
'x,-y,z'
'x+1/2,y+1/2,z+1/2'
'-x+1/2,-y+1/2,z+1/2'
'-x+1/2,y+1/2,z+1/2'
'x+1/2,-y+1/2,z+1/2'
loop_
_atom_site_label
_atom_site_type_symbol
_atom_site_fract_x
_atom_site_fract_y
_atom_site_fract_z
Mo1 Mo 0.0000 0.0000 0.0000
Se1 Se 0.0000 0.0000 0.5355
Se2 Se 0.0000 0.5000 0.6433
Cl1 Cl 0.0000 0.5000 0.3568
# Density of states at the Fermi level = 6.6 states/eV/cell
# E above lowest polymorph = 293.6 meV/atom

# MoSe2Cl, optimized geometry, DFT PBE-GGA
data_MoSe2Cl
_space_group_name_H-M_alt 'R -3 m'
_space_group_IT_number 166
_space_group_name_Hall '-R 3 2"'
_cell_length_a 3.4533
_cell_length_b 3.4533
_cell_length_c 25.4283
_cell_angle_alpha 90.00
_cell_angle_beta 90.00
_cell_angle_gamma 120.00
loop_
_atom_site_label
_atom_site_type_symbol
_atom_site_fract_x
_atom_site_fract_y
_atom_site_fract_z
Mo1 Mo 0.0000 0.0000 0.0000
Se1 Se 0.0000 0.0000 0.3973
Cl1 Cl 0.0000 0.0000 0.5000
# Density of states at the Fermi level = 11.6 states/eV/cell
# E above lowest polymorph = 175.4 meV/atom

# MoSeCl4, optimized geometry, DFT PBE-GGA
data_MoSeCl4
_space_group_name_H-M_alt 'F -4 3 m'
_space_group_IT_number 216
_space_group_name_Hall 'F -4 2 3'
_cell_length_a 8.1274
_cell_length_b 8.1274
_cell_length_c 8.1274
_cell_angle_alpha 90.00
_cell_angle_beta 90.00
_cell_angle_gamma 90.00
loop_
_atom_site_label
_atom_site_type_symbol
_atom_site_fract_x
_atom_site_fract_y
_atom_site_fract_z
Mo1 Mo 0.0000 0.0000 0.0000
Se1 Se 0.2500 0.2500 0.7500
Cl1 Cl 0.1259 0.1259 0.3741
# Density of states at the Fermi level = 28.1 states/eV/cell

# MoSe2Cl, optimized geometry, DFT PBE-GGA
data_MoSe2Cl
_space_group_name_H-M_alt 'I 4/m m m'
_space_group_IT_number 139
_space_group_name_Hall '-I 4 2'
_cell_length_a 5.0291
_cell_length_b 5.0291
_cell_length_c 5.7252
_cell_angle_alpha 90.00
_cell_angle_beta 90.00
_cell_angle_gamma 90.00
loop_
_atom_site_label
_atom_site_type_symbol
_atom_site_fract_x
_atom_site_fract_y
_atom_site_fract_z
Mo1 Mo 0.0000 0.0000 0.0000
Se1 Se 0.0000 0.5000 0.2500
Cl1 Cl 0.0000 0.0000 0.5000
# Density of states at the Fermi level = 3.4 states/eV/cell
# E above lowest polymorph = 773.8 meV/atom

# MoSe2Cl, optimized geometry, DFT PBE-GGA
data_MoSe2Cl
_space_group_name_H-M_alt 'P 4/m m m'
_space_group_IT_number 123
_space_group_name_Hall '-P 4 2'
_cell_length_a 3.0567
_cell_length_b 3.0567
_cell_length_c 9.1450
_cell_angle_alpha 90.00
_cell_angle_beta 90.00
_cell_angle_gamma 90.00
loop_
_atom_site_label
_atom_site_type_symbol
_atom_site_fract_x
_atom_site_fract_y
_atom_site_fract_z
Mo1 Mo 0.0000 0.0000 0.0000
Se1 Se 0.5000 0.5000 0.1723
Cl1 Cl 0.0000 0.0000 0.5000
# Density of states at the Fermi level = 2.4 states/eV/cell
# E above lowest polymorph = 237.2 meV/atom

# MoSe2Cl, optimized geometry, DFT PBE-GGA
data_MoSe2Cl
_space_group_name_H-M_alt 'F m -3 m'
_space_group_IT_number 225
_space_group_name_Hall '-F 4 2 3'
_cell_length_a 6.6478
_cell_length_b 6.6478
_cell_length_c 6.6478
_cell_angle_alpha 90.00
_cell_angle_beta 90.00
_cell_angle_gamma 90.00
loop_
_atom_site_label
_atom_site_type_symbol
_atom_site_fract_x
_atom_site_fract_y
_atom_site_fract_z
Mo1 Mo 0.0000 0.0000 0.0000
Se1 Se 0.2500 0.2500 0.2500
Cl1 Cl 0.0000 0.0000 0.5000
# Density of states at the Fermi level = 11.5 states/eV/cell
# E above lowest polymorph = 803.9 meV/atom

# MoSeCl3, optimized geometry, DFT PBE-GGA
data_MoSeCl3
_space_group_name_H-M_alt 'P m -3 m'
_space_group_IT_number 221
_space_group_name_Hall '-P 4 2 3'
_cell_length_a 4.7911
_cell_length_b 4.7911
_cell_length_c 4.7911
_cell_angle_alpha 90.00
_cell_angle_beta 90.00
_cell_angle_gamma 90.00
loop_
_atom_site_label
_atom_site_type_symbol
_atom_site_fract_x
_atom_site_fract_y
_atom_site_fract_z
Mo1 Mo 0.0000 0.0000 0.0000
Se1 Se 0.5000 0.5000 0.5000
Cl1 Cl 0.0000 0.0000 0.5000
# Density of states at the Fermi level = 5.2 states/eV/cell
# E above lowest polymorph = 898.7 meV/atom

# MoSe3Cl, optimized geometry, DFT PBE-GGA
data_MoSe3Cl
_space_group_name_H-M_alt 'P m -3 m'
_space_group_IT_number 221
_space_group_name_Hall '-P 4 2 3'
_cell_length_a 4.9197
_cell_length_b 4.9197
_cell_length_c 4.9197
_cell_angle_alpha 90.00
_cell_angle_beta 90.00
_cell_angle_gamma 90.00
loop_
_atom_site_label
_atom_site_type_symbol
_atom_site_fract_x
_atom_site_fract_y
_atom_site_fract_z
Mo1 Mo 0.0000 0.0000 0.0000
Se1 Se 0.0000 0.5000 0.5000
Cl1 Cl 0.5000 0.5000 0.5000
# Density of states at the Fermi level = 3.6 states/eV/cell
# E above lowest polymorph = 1139.9 meV/atom

# MoSe2Cl, optimized geometry, DFT PBE-GGA
data_MoSe2Cl
_space_group_name_H-M_alt 'R -3 m'
_space_group_IT_number 166
_space_group_name_Hall '-R 3 2"'
_cell_length_a 3.3699
_cell_length_b 3.3699
_cell_length_c 23.9448
_cell_angle_alpha 90.00
_cell_angle_beta 90.00
_cell_angle_gamma 120.00
loop_
_atom_site_label
_atom_site_type_symbol
_atom_site_fract_x
_atom_site_fract_y
_atom_site_fract_z
Mo1 Mo 0.0000 0.0000 0.0000
Se1 Se 0.0000 0.0000 0.2628
Cl1 Cl 0.0000 0.0000 0.5000
# Density of states at the Fermi level = 8.3 states/eV/cell
# E above lowest polymorph = 114.7 meV/atom

# MoSe2Cl, optimized geometry, DFT PBE-GGA
data_MoSe2Cl
_space_group_name_H-M_alt 'P 4 m m'
_space_group_IT_number 99
_cell_length_a 3.4173
_cell_length_b 3.4173
_cell_length_c 7.6556
_cell_angle_alpha 90.00
_cell_angle_beta 90.00
_cell_angle_gamma 90.00
loop_
_space_group_symop_operation_xyz
'x,y,z'
'-y,x,z'
'-x,-y,z'
'y,-x,z'
'-x,y,z'
'y,x,z'
'x,-y,z'
'-y,-x,z'
loop_
_atom_site_label
_atom_site_type_symbol
_atom_site_fract_x
_atom_site_fract_y
_atom_site_fract_z
Mo1 Mo 0.0000 0.0000 0.0000
Se1 Se 0.0000 0.0000 0.3320
Se2 Se 0.5000 0.5000 0.1452
Cl1 Cl 0.5000 0.5000 0.7668
# Density of states at the Fermi level = 3.2 states/eV/cell
# E above lowest polymorph = 533.8 meV/atom

# MoSe2Cl, optimized geometry, DFT PBE-GGA
data_MoSe2Cl
_space_group_name_H-M_alt 'P 4/m m m'
_space_group_IT_number 123
_space_group_name_Hall '-P 4 2'
_cell_length_a 3.8207
_cell_length_b 3.8207
_cell_length_c 6.0106
_cell_angle_alpha 90.00
_cell_angle_beta 90.00
_cell_angle_gamma 90.00
loop_
_atom_site_label
_atom_site_type_symbol
_atom_site_fract_x
_atom_site_fract_y
_atom_site_fract_z
Mo1 Mo 0.0000 0.0000 0.0000
Se1 Se 0.0000 0.5000 0.5000
Cl1 Cl 0.5000 0.5000 0.0000
# Density of states at the Fermi level = 3.1 states/eV/cell
# E above lowest polymorph = 962.0 meV/atom

# SnMoSe2Cl, optimized geometry, DFT PBE-GGA
data_SnMoSe2Cl
_space_group_name_H-M_alt 'P 4/m m m'
_space_group_IT_number 123
_space_group_name_Hall '-P 4 2'
_cell_length_a 5.3512
_cell_length_b 5.3512
_cell_length_c 4.6393
_cell_angle_alpha 90.00
_cell_angle_beta 90.00
_cell_angle_gamma 90.00
loop_
_atom_site_label
_atom_site_type_symbol
_atom_site_fract_x
_atom_site_fract_y
_atom_site_fract_z
Sn1 Sn 0.0000 0.0000 0.0000
Mo1 Mo 0.5000 0.5000 0.0000
Se1 Se 0.0000 0.5000 0.5000
Cl1 Cl 0.5000 0.5000 0.5000
# Density of states at the Fermi level = 3.6 states/eV/cell

no.,uncorrected formation energy (meV/atom)
1,-741
2,-144
3,-102
4,-220
5,1079
6,378
7,-158
8,408
9,157
10,1273
11,-281
12,138
13,567
14,961